# 1
Density functional theory data (PBE) for an optimized crystal structure of LaNb2Ir2.

abc: 4.5095 4.5095 10.5932
angles: 90.00 90.00 90.00
Space group I4/mmm (No. 139)
Symmetry-distinct sites (fractional):
La 0.0000 0.0000 0.0000 x2
Nb 0.0000 0.5000 0.2500 x4
Ir 0.0000 0.0000 0.3722 x4

Summary:
E_form in eV per atom: -0.538

***

# 2
Density functional theory data (PBE) for an optimized crystal structure of UTaTe.

abc: 6.8296 6.8296 6.8296
angles: 90.00 90.00 90.00
Space group F-43m (No. 216)
Symmetry-distinct sites (fractional):
U 0.0000 0.0000 0.0000 x4
Ta 0.2500 0.2500 0.7500 x4
Te 0.2500 0.2500 0.2500 x4

***

| no. | total DFT energy (no corrections) (eV/atom) |
| --- | --- |
| 1 | -9.102 |
| 2 | -7.692 |